(1)
Entry from Alexandria via LeMat-Bulk: a geometry-optimized BaY2Pb structure (PBEsol).

Values from the calculation:
DFT formation energy: -0.122 eV/atom
space group: No. 10
mass density: 6.561 Mg/m³
total energy: -20.28 eV per cell

a = 3.688 Å, b = 5.413 Å, c = 6.758 Å
α = 90.00°, β = 101.51°, γ = 90.00°
Positions (direct):
Pb1 0.000 0.500 0.500
Y1 0.176 0.000 0.283
Y2 0.824 0.000 0.717
Ba1 0.500 0.500 0.000

(2)
Entry from Alexandria via LeMat-Bulk: a geometry-optimized BaY2Pb structure (PBEsol).

Values from the calculation:
DFT formation energy: -0.136 eV/atom
space group: No. 119
mass density: 6.958 Mg/m³
total energy: -20.33 eV per cell

a = 4.847 Å, b = 4.847 Å, c = 6.317 Å
α = 112.56°, β = 112.56°, γ = 90.00°
Positions (direct):
Pb1 0.250 0.750 0.500
Y1 0.750 0.250 0.500
Y2 0.000 0.000 0.000
Ba1 0.500 0.500 0.000

(3)
Entry from Alexandria via LeMat-Bulk: a geometry-optimized Ba2YPb structure (PBEsol).

Values from the calculation:
DFT formation energy: -0.070 eV/atom
space group: No. 123
mass density: 5.949 Mg/m³
total energy: -15.40 eV per cell

a = 3.864 Å, b = 3.864 Å, c = 10.674 Å
α = 90.00°, β = 90.00°, γ = 90.00°
Last column: magnetic moment on the atom in μB.
Positions (direct):
Y1 0.500 0.500 0.500  0.64
Pb1 0.500 0.500 0.000  0.01
Ba1 0.000 0.000 0.221  0.09
Ba2 0.000 0.000 0.779  0.09

(4)
Entry from Alexandria via LeMat-Bulk: a geometry-optimized BaZnPb3 structure (PBEsol).

Values from the calculation:
DFT formation energy: -0.098 eV/atom
space group: No. 221
mass density: 8.554 Mg/m³
total energy: -16.22 eV per cell
offset from the most stable computed form: 0.000 eV/atom

a = 5.429 Å, b = 5.429 Å, c = 5.429 Å
α = 90.00°, β = 90.00°, γ = 90.00°
Positions (direct):
Pb1 0.000 0.000 0.500
Pb2 0.000 0.500 0.000
Pb3 0.500 0.000 0.000
Ba1 0.500 0.500 0.500
Zn1 0.000 0.000 0.000

(5)
Entry from Alexandria via LeMat-Bulk: a geometry-optimized BaZnPb structure (PBEsol).

Values from the calculation:
DFT formation energy: -0.396 eV/atom
space group: No. 194
mass density: 7.135 Mg/m³
total energy: -35.67 eV per cell

a = 4.718 Å, b = 4.718 Å, c = 19.794 Å
α = 90.00°, β = 90.00°, γ = 120.00°
Positions (direct):
Ba1 0.000 0.000 0.250
Ba2 0.000 0.000 0.000
Ba3 0.000 0.000 0.500
Ba4 0.000 0.000 0.750
Pb1 0.333 0.667 0.876
Pb2 0.667 0.333 0.376
Pb3 0.667 0.333 0.124
Pb4 0.333 0.667 0.624
Zn1 0.333 0.667 0.376
Zn2 0.333 0.667 0.124
Zn3 0.667 0.333 0.876
Zn4 0.667 0.333 0.624

(6)
Entry from Alexandria via LeMat-Bulk: a geometry-optimized BaZnPb2 structure (PBEsol).

Values from the calculation:
DFT formation energy: -0.040 eV/atom
space group: No. 65
mass density: 8.606 Mg/m³
total energy: -11.89 eV per cell

a = 3.441 Å, b = 6.128 Å, c = 6.128 Å
α = 112.84°, β = 90.00°, γ = 90.00°
Positions (direct):
Pb1 0.000 0.500 0.000
Pb2 0.000 0.000 0.500
Zn1 0.500 0.000 0.000
Ba1 0.500 0.500 0.500

(7)
Entry from Alexandria via LeMat-Bulk: a geometry-optimized Ba2ZnPb structure (PBEsol).

Values from the calculation:
DFT formation energy: -0.205 eV/atom
space group: No. 119
mass density: 6.802 Mg/m³
total energy: -10.70 eV per cell

a = 5.033 Å, b = 5.033 Å, c = 6.362 Å
α = 113.30°, β = 113.30°, γ = 90.00°
Positions (direct):
Ba1 0.750 0.250 0.500
Ba2 0.000 0.000 0.000
Zn1 0.250 0.750 0.500
Pb1 0.500 0.500 0.000

(8)
Entry from Alexandria via LeMat-Bulk: a geometry-optimized BaZnPb3 structure (PBEsol).

Values from the calculation:
DFT formation energy: 1.093 eV/atom
space group: No. 221
mass density: 5.627 Mg/m³
total energy: -10.26 eV per cell
offset from the most stable computed form: 1.190 eV/atom

a = 6.242 Å, b = 6.242 Å, c = 6.242 Å
α = 90.00°, β = 90.00°, γ = 90.00°
Positions (direct):
Pb1 0.500 0.000 0.000
Pb2 0.000 0.000 0.500
Pb3 0.000 0.500 0.000
Ba1 0.000 0.000 0.000
Zn1 0.500 0.500 0.500

(9)
Entry from Alexandria via LeMat-Bulk: a geometry-optimized Ba2ZnPb structure (PBEsol).

Values from the calculation:
DFT formation energy: -0.336 eV/atom
space group: No. 25
mass density: 6.516 Mg/m³
total energy: -11.22 eV per cell

a = 4.122 Å, b = 5.672 Å, c = 5.966 Å
α = 90.00°, β = 90.00°, γ = 90.00°
Positions (direct):
Pb1 0.500 0.000 0.567
Ba1 0.000 0.000 0.090
Ba2 0.000 0.500 0.659
Zn1 0.500 0.500 0.184

(10)
Entry from Alexandria via LeMat-Bulk: a geometry-optimized BaZnPb structure (PBEsol).

Values from the calculation:
DFT formation energy: -0.390 eV/atom
space group: No. 187
mass density: 7.127 Mg/m³
total energy: -8.90 eV per cell

a = 4.694 Å, b = 4.694 Å, c = 5.005 Å
α = 90.00°, β = 90.00°, γ = 120.00°
Positions (direct):
Zn1 0.667 0.333 0.500
Pb1 0.333 0.667 0.500
Ba1 0.000 0.000 0.000

(11)
Entry from Alexandria via LeMat-Bulk: a geometry-optimized BaZnPb2 structure (PBEsol).

Values from the calculation:
DFT formation energy: 0.027 eV/atom
space group: No. 166
mass density: 8.760 Mg/m³
total energy: -11.62 eV per cell

a = 3.667 Å, b = 3.667 Å, c = 10.269 Å
α = 79.72°, β = 79.72°, γ = 60.00°
Positions (direct):
Zn1 0.500 0.500 0.500
Pb1 0.766 0.766 0.701
Pb2 0.234 0.234 0.299
Ba1 0.000 0.000 0.000

(12)
Entry from Alexandria via LeMat-Bulk: a geometry-optimized Ba3ZrPb structure (PBEsol).

Values from the calculation:
DFT formation energy: 0.600 eV/atom
space group: No. 221
mass density: 5.486 Mg/m³
total energy: -16.53 eV per cell

a = 5.991 Å, b = 5.991 Å, c = 5.991 Å
α = 90.00°, β = 90.00°, γ = 90.00°
Positions (direct):
Ba1 0.000 0.000 0.500
Ba2 0.500 0.000 0.000
Ba3 0.000 0.500 0.000
Pb1 0.500 0.500 0.500
Zr1 0.000 0.000 0.000

(13)
Entry from Alexandria via LeMat-Bulk: a geometry-optimized BaZrPb2 structure (PBEsol).

Values from the calculation:
DFT formation energy: -0.117 eV/atom
space group: No. 166
mass density: 9.331 Mg/m³
total energy: -19.71 eV per cell

a = 3.501 Å, b = 3.501 Å, c = 10.969 Å
α = 80.82°, β = 80.82°, γ = 60.00°
Positions (direct):
Pb1 0.241 0.241 0.277
Pb2 0.759 0.759 0.723
Zr1 0.500 0.500 0.500
Ba1 0.000 0.000 0.000

(14)
Entry from Alexandria via LeMat-Bulk: a geometry-optimized BaZrPb2 structure (PBEsol).

Values from the calculation:
DFT formation energy: -0.019 eV/atom
space group: No. 225
mass density: 9.141 Mg/m³
total energy: -19.31 eV per cell

a = 5.487 Å, b = 5.487 Å, c = 5.487 Å
α = 60.00°, β = 60.00°, γ = 60.00°
Last column: magnetic moment on the atom in μB.
Positions (direct):
Pb1 0.250 0.250 0.250  0.02
Pb2 0.750 0.750 0.750  0.02
Ba1 0.000 0.000 0.000  0.03
Zr1 0.500 0.500 0.500  0.54

(15)
Entry from Alexandria via LeMat-Bulk: a geometry-optimized BaPd2 structure (PBEsol).

Values from the calculation:
DFT formation energy: -0.560 eV/atom
space group: No. 227
mass density: 9.296 Mg/m³
total energy: -31.49 eV per cell

a = 5.614 Å, b = 5.614 Å, c = 5.614 Å
α = 60.00°, β = 60.00°, γ = 60.00°
Positions (direct):
Pd1 0.125 0.625 0.625
Pd2 0.625 0.625 0.125
Pd3 0.625 0.125 0.625
Pd4 0.625 0.625 0.625
Ba1 0.250 0.250 0.250
Ba2 0.000 0.000 0.000

(16)
Entry from Alexandria via LeMat-Bulk: a geometry-optimized BaPd5 structure (PBEsol).

Values from the calculation:
DFT formation energy: -0.299 eV/atom
space group: No. 191
mass density: 9.879 Mg/m³
total energy: -33.74 eV per cell

a = 4.307 Å, b = 5.493 Å, c = 5.493 Å
α = 120.00°, β = 90.00°, γ = 90.00°
Positions (direct):
Pd1 0.000 0.333 0.667
Pd2 0.500 0.000 0.500
Pd3 0.500 0.500 0.000
Pd4 0.500 0.500 0.500
Pd5 0.000 0.667 0.333
Ba1 0.000 0.000 0.000

(17)
Entry from Alexandria via LeMat-Bulk: a geometry-optimized RbBa3Pd structure (PBEsol).

Values from the calculation:
DFT formation energy: -0.162 eV/atom
space group: No. 221
mass density: 3.867 Mg/m³
total energy: -14.24 eV per cell

a = 6.377 Å, b = 6.377 Å, c = 6.377 Å
α = 90.00°, β = 90.00°, γ = 90.00°
Positions (direct):
Pd1 0.000 0.000 0.000
Ba1 0.000 0.500 0.000
Ba2 0.500 0.000 0.000
Ba3 0.000 0.000 0.500
Rb1 0.500 0.500 0.500

(18)
Entry from Alexandria via LeMat-Bulk: a geometry-optimized Rb2BaPd2 structure (PBEsol).

Values from the calculation:
DFT formation energy: 0.134 eV/atom
space group: No. 139
mass density: 5.216 Mg/m³
total energy: -15.45 eV per cell

a = 4.716 Å, b = 4.716 Å, c = 8.170 Å
α = 106.78°, β = 106.78°, γ = 90.00°
Positions (direct):
Pd1 0.413 0.413 0.825
Pd2 0.587 0.587 0.175
Rb1 0.250 0.750 0.500
Rb2 0.750 0.250 0.500
Ba1 0.000 0.000 0.000

(19)
Entry from Alexandria via LeMat-Bulk: a geometry-optimized Ba2PdRuSe structure (PBEsol).

Values from the calculation:
uncorrected formation energy: -0.0237 eV per atom
space group: No. 123
mass density: 5.621 Mg/m³
total energy: -24.40 eV per cell

a = 4.438 Å, b = 6.112 Å, c = 6.112 Å
α = 90.00°, β = 90.00°, γ = 90.00°
Positions (direct):
Ba1 0.000 0.000 0.500
Ba2 0.000 0.500 0.000
Ru1 0.500 0.000 0.000
Se1 0.000 0.000 0.000
Pd1 0.500 0.500 0.500

(20)
Entry from Alexandria via LeMat-Bulk: a geometry-optimized BaPdS2 structure (PBEsol).

Values from the calculation:
uncorrected formation energy: -1.2571 eV per atom
space group: No. 63
mass density: 5.125 Mg/m³
total energy: -43.81 eV per cell

a = 5.583 Å, b = 6.295 Å, c = 6.295 Å
α = 115.61°, β = 90.00°, γ = 90.00°
Positions (direct):
Ba1 0.250 0.349 0.651
Ba2 0.750 0.651 0.349
Pd1 0.000 0.000 0.000
Pd2 0.500 0.000 0.000
S1 0.250 0.332 0.143
S2 0.750 0.143 0.332
S3 0.250 0.857 0.668
S4 0.750 0.668 0.857